This record from Alexandria via LeMat-Bulk describes an optimized crystal structure of Ho3TeSe3. The functional is PBE-GGA.

abc: 10.183 10.183 10.183
angles: 109.47 109.47 109.47
Positions (direct):
Ho 0.238 0.750 0.262
Ho 0.238 0.988 0.976
Ho 0.262 0.238 0.750
Ho 0.262 0.524 0.512
Ho 0.512 0.262 0.524
Ho 0.512 0.750 0.988
Ho 0.524 0.512 0.262
Ho 0.750 0.262 0.238
Ho 0.750 0.988 0.512
Ho 0.976 0.238 0.988
Ho 0.988 0.512 0.750
Ho 0.988 0.976 0.238
Te 0.000 0.250 0.500
Te 0.250 0.250 0.250
Te 0.250 0.500 0.000
Te 0.500 0.000 0.250
Se 0.004 0.009 0.754
Se 0.004 0.496 0.250
Se 0.009 0.754 0.004
Se 0.250 0.004 0.496
Se 0.250 0.746 0.754
Se 0.491 0.496 0.746
Se 0.496 0.250 0.004
Se 0.496 0.746 0.491
Se 0.746 0.491 0.496
Se 0.746 0.754 0.250
Se 0.754 0.004 0.009
Se 0.754 0.250 0.746

Results
As for the space group: I4_132, No. 214. For the energy above the most stable polymorph in this dataset, the calculation gives 0 meV per atom. The size of the total moment is 0.00 μB/f.u.

=====

This record from Alexandria via LeMat-Bulk describes an optimized crystal structure of Ho2TeSe2. The functional is PBE-GGA.

abc: 7.576 7.576 7.576
angles: 147.67 136.23 55.45
Positions (direct):
Ho 0.166 0.166 0.000
Ho 0.834 0.834 0.000
Te 0.000 0.500 0.500
Se 0.308 0.808 0.500
Se 0.692 0.192 0.500

Results
As for the space group: Immm, No. 71. For the energy above the most stable polymorph in this dataset, the calculation gives 0 meV per atom. The size of the total moment is 0.00 μB/f.u.

=====

This record from Alexandria via LeMat-Bulk describes an optimized crystal structure of Ho3TeSe2. The functional is PBE-GGA.

abc: 7.191 7.191 7.191
angles: 146.38 131.77 60.07
Positions (direct):
Ho 0.000 0.000 0.000
Ho 0.316 0.316 0.000
Ho 0.684 0.684 0.000
Te 0.500 0.000 0.500
Se 0.161 0.661 0.500
Se 0.839 0.339 0.500

Results
As for the space group: Immm, No. 71. For the energy above the most stable polymorph in this dataset, the calculation gives 36 meV per atom. The size of the total moment is 0.00 μB/f.u.

=====

This record from Alexandria via LeMat-Bulk describes an optimized crystal structure of Ho5Te5Se. The functional is PBE-GGA.

abc: 7.383 7.383 8.524
angles: 106.96 106.96 48.50
Positions (direct):
Ho 0.000 0.000 0.000
Ho 0.338 0.338 0.158
Ho 0.344 0.344 0.682
Ho 0.656 0.656 0.318
Ho 0.662 0.662 0.842
Te 0.161 0.161 0.820
Te 0.168 0.168 0.339
Te 0.500 0.500 0.500
Te 0.832 0.832 0.661
Te 0.839 0.839 0.180
Se 0.500 0.500 0.000

Results
As for the space group: C2/m, No. 12. The size of the total moment is 0.00 μB/f.u.

=====

This record from Alexandria via LeMat-Bulk describes an optimized crystal structure of Ho4TeSe3. The functional is PBE-GGA.

abc: 5.804 9.751 8.344
angles: 90.00 90.00 90.00
Positions (direct):
Ho 0.250 0.058 0.149
Ho 0.250 0.250 0.756
Ho 0.250 0.442 0.149
Ho 0.250 0.750 0.619
Ho 0.750 0.250 0.381
Ho 0.750 0.558 0.851
Ho 0.750 0.750 0.244
Ho 0.750 0.942 0.851
Te 0.250 0.750 0.252
Te 0.750 0.250 0.748
Se 0.250 0.250 0.409
Se 0.250 0.536 0.829
Se 0.250 0.964 0.829
Se 0.750 0.036 0.171
Se 0.750 0.464 0.171
Se 0.750 0.750 0.591

Results
As for the space group: Pmmn, No. 59. For the energy above the most stable polymorph in this dataset, the calculation gives 211 meV per atom. The size of the total moment is 0.00 μB/f.u.

=====

This record from Alexandria via LeMat-Bulk describes an optimized crystal structure of Ho3TeSe2. The functional is PBE-GGA.

abc: 7.012 4.015 11.089
angles: 90.00 102.13 90.00
Positions (direct):
Ho 0.118 0.250 0.152
Ho 0.224 0.250 0.496
Ho 0.353 0.250 0.853
Ho 0.647 0.750 0.147
Ho 0.776 0.750 0.504
Ho 0.882 0.750 0.848
Te 0.473 0.750 0.671
Te 0.527 0.250 0.329
Se 0.020 0.750 0.323
Se 0.255 0.750 0.010
Se 0.745 0.250 0.990
Se 0.980 0.250 0.677

Results
As for the space group: P2_1/m, No. 11. For the energy above the most stable polymorph in this dataset, the calculation gives 0 meV per atom. The size of the total moment is 0.00 μB/f.u.

=====

This record from Alexandria via LeMat-Bulk describes an optimized crystal structure of Ho5TeSe5. The functional is PBE-GGA.

abc: 7.071 7.071 8.196
angles: 106.41 106.41 48.59
Positions (direct):
Ho 0.000 0.000 0.000
Ho 0.330 0.330 0.652
Ho 0.333 0.333 0.182
Ho 0.667 0.667 0.818
Ho 0.670 0.670 0.348
Te 0.500 0.500 0.000
Se 0.160 0.160 0.335
Se 0.171 0.171 0.838
Se 0.500 0.500 0.500
Se 0.829 0.829 0.162
Se 0.840 0.840 0.665

Results
As for the space group: C2/m, No. 12. The size of the total moment is 0.00 μB/f.u.

=====

This record from Alexandria via LeMat-Bulk describes an optimized crystal structure of HoThTeSe. The functional is PBE-GGA.

abc: 8.218 8.218 8.218
angles: 28.25 28.25 28.25
Positions (direct):
Ho 0.000 0.000 0.000
Th 0.182 0.182 0.182
Te 0.755 0.755 0.755
Se 0.596 0.596 0.596

Results
As for the space group: R3m, No. 160. The size of the total moment is 0.00 μB/f.u.

=====

This record from Alexandria via LeMat-Bulk describes an optimized crystal structure of HoThTeSe2. The functional is PBE-GGA.

abc: 7.641 7.641 7.641
angles: 144.23 144.23 51.48
Positions (direct):
Ho 0.000 0.000 0.000
Th 0.266 0.266 0.000
Te 0.649 0.649 0.000
Se 0.391 0.891 0.500
Se 0.891 0.391 0.500

Results
As for the space group: I4mm, No. 107. The size of the total moment is 1.00 μB/f.u.

=====

This record from Alexandria via LeMat-Bulk describes an optimized crystal structure of HoTlTeSe. The functional is PBE-GGA.

abc: 8.508 8.508 8.508
angles: 29.18 29.18 29.18
Positions (direct):
Ho 0.000 0.000 0.000
Tl 0.163 0.163 0.163
Te 0.590 0.590 0.590
Se 0.392 0.392 0.392

Results
As for the space group: R3m, No. 160. The size of the total moment is 0.00 μB/f.u.

=====

This record from Alexandria via LeMat-Bulk describes an optimized crystal structure of Ho4TlTeSe2. The functional is PBE-GGA.

abc: 7.362 4.102 7.386
angles: 90.00 108.29 90.00
Positions (direct):
Ho 0.235 0.000 0.232
Ho 0.253 0.500 0.765
Ho 0.747 0.500 0.235
Ho 0.765 0.000 0.768
Tl 0.000 0.000 0.500
Te 0.500 0.500 0.500
Se 0.000 0.500 0.000
Se 0.500 0.000 0.000

Results
As for the space group: P2/m, No. 10. The size of the total moment is 0.00 μB/f.u.

=====

This record from Alexandria via LeMat-Bulk describes an optimized crystal structure of Ho8TlTe4Se3. The functional is PBE-GGA.

abc: 8.555 8.555 8.555
angles: 59.13 59.13 59.13
Positions (direct):
Ho 0.236 0.745 0.745
Ho 0.238 0.238 0.238
Ho 0.255 0.255 0.764
Ho 0.255 0.764 0.255
Ho 0.745 0.236 0.745
Ho 0.745 0.745 0.236
Ho 0.762 0.762 0.762
Ho 0.764 0.255 0.255
Tl 0.500 0.500 0.500
Te 0.000 0.000 0.000
Te 0.000 0.500 0.500
Te 0.500 0.000 0.500
Te 0.500 0.500 0.000
Se 0.000 0.000 0.500
Se 0.000 0.500 0.000
Se 0.500 0.000 0.000

Results
As for the space group: R-3m, No. 166. The size of the total moment is 0.00 μB/f.u.

=====

| no. | volume (Å³ per cell) | formation energy without anion corrections (eV/atom) | E (eV for the cell shown) |
| --- | --- | --- | --- |
| 1 | 813 | -1.700 | -156.9 |
| 2 | 160 | -1.715 | -27.8 |
| 3 | 152 | -1.537 | -33.1 |
| 4 | 330 | -1.425 | -57.8 |
| 5 | 472 | -1.417 | -86.5 |
| 6 | 305 | -1.573 | -66.6 |
| 7 | 292 | -1.715 | -62.3 |
| 8 | 110 | -1.376 | -24.1 |
| 9 | 152 | -1.284 | -28.5 |
| 10 | 130 | -1.191 | -18.3 |
| 11 | 212 | -1.246 | -40.8 |
| 12 | 434 | -1.327 | -83.2 |